1.
## BaCo2 (PBE)

Data for an optimized crystal structure of BaCo2.

Calculated values
* SG: Cm (8)
* final energy: -4.9436 eV/atom
* calculated density: 5.7 g cm⁻³
* size of the total moment: 5.56 μB per cell
* V: 24.9 Å³ per atom

```
6
Lattice="-0.766 -4.293 -4.325 1.387 -5.864 -1.191 -5.239 -3.569 1.810" Properties=species:S:1:pos:R:3 pbc="T T T"
Ba -4.991 -3.655 1.597
Ba -1.640 -8.380 -3.072
Co -3.637 -6.127 -0.571
Co -1.690 -5.599 -1.644
Co -2.189 -11.250 -4.133
Co -3.970 -10.833 -2.701
```

---

2.
## Ce4BSb2 (PBE)

Data for an optimized crystal structure of Ce4BSb2.

Calculated values
* SG: I4/mmm (139)
* final energy: -6.0992 eV/atom
* formation energy without anion corrections: -0.577 eV/atom
* calculated density: 6.8 g cm⁻³
* size of the total moment: 3.64 μB per cell
* V: 28.5 Å³ per atom

```
7
Lattice="-0.770 4.127 2.579 -4.838 -0.931 0.045 3.679 -5.807 5.683" Properties=species:S:1:pos:R:3 pbc="T T T"
Sb -2.561 0.429 3.255
Sb 0.632 -3.040 5.053
B 0.000 0.000 0.000
Ce -2.213 -1.244 6.035
Ce 0.284 -1.367 2.272
Ce -2.419 -0.465 0.023
Ce -0.385 2.063 1.290
```

---

3.
## ScC5 (PBE)

Data for an optimized crystal structure of ScC5.

Calculated values
* SG: P4/mmm (123)
* final energy: -7.1128 eV/atom
* calculated density: 2.9 g cm⁻³
* size of the total moment: 0.00 μB per cell
* V: 10.0 Å³ per atom

```
6
Lattice="-0.046 -2.150 -2.459 -2.096 -1.867 1.671 -4.312 2.757 -2.329" Properties=species:S:1:pos:R:3 pbc="T T T"
Sc -1.071 -2.008 -0.394
C -3.195 2.043 -1.726
C -1.117 0.714 -0.603
C -3.744 -0.299 -1.838
C -2.711 -0.960 -1.280
C -2.156 1.379 -1.165
```

---

4.
## Ca2TlHPd6 (PBE)

Data for an optimized crystal structure of Ca2TlHPd6.

Calculated values
* SG: P-1 (2)
* final energy: -4.5388 eV/atom
* calculated density: 8.3 g cm⁻³
* size of the total moment: 0.00 μB per cell
* V: 18.5 Å³ per atom

```
10
Lattice="-2.099 -2.064 4.935 5.112 -5.195 0.002 3.286 -0.011 4.730" Properties=species:S:1:pos:R:3 pbc="T T T"
Ca 1.440 -3.161 5.970
Ca 4.859 -4.110 3.698
Tl 4.792 -3.641 7.199
H 3.286 -0.011 4.730
Pd 2.166 -1.319 3.697
Pd 5.742 -5.891 8.345
Pd 6.793 -4.880 5.875
Pd -0.494 -2.390 3.792
Pd 0.557 -1.379 1.323
Pd 4.133 -5.951 5.970
```